1.
Entry from Alexandria: an optimized crystal structure of CsCrBiRh2 (PBE-GGA).

a b c (Å): 5.207 5.207 5.129
angles (deg): 90.00 90.00 90.00
Sites, in units of the cell vectors:
Cs (0.000, 0.000, 0.000)
Cr (0.500, 0.500, 0.000)
Bi (0.500, 0.500, 0.500)
Rh (0.000, 0.500, 0.500)
Rh (0.500, 0.000, 0.500)

Output
As for the electronic total energy: -4.469 eV/atom. The magnetization comes out at 0.1 Bohr magnetons per cell. The crystal system is tetragonal.

=====

2.
Entry from Alexandria: an optimized crystal structure of Cs2CrBiS4 (PBE-GGA).

a b c (Å): 14.599 12.903 8.206
angles (deg): 84.40 61.59 34.01
Sites, in units of the cell vectors:
Cs (0.055, 0.055, 0.695)
Cs (0.305, 0.305, 0.945)
Cs (0.695, 0.695, 0.055)
Cs (0.945, 0.945, 0.305)
Cr (0.375, 0.375, 0.375)
Cr (0.625, 0.625, 0.625)
Bi (0.125, 0.125, 0.125)
Bi (0.875, 0.875, 0.875)
S (0.028, 0.630, 0.522)
S (0.320, 0.522, 0.630)
S (0.370, 0.972, 0.680)
S (0.478, 0.680, 0.972)
S (0.522, 0.320, 0.028)
S (0.630, 0.028, 0.320)
S (0.680, 0.478, 0.370)
S (0.972, 0.370, 0.478)

Output
As for the electronic total energy: -4.625 eV/atom. The magnetization comes out at 6.0 Bohr magnetons per cell. The crystal system is orthorhombic. For the formation energy without anion corrections, the calculation gives -0.660 eV per atom.

=====

3.
Entry from Alexandria: an optimized crystal structure of CrCuBi (PBE-GGA).

a b c (Å): 3.965 3.965 6.783
angles (deg): 90.00 90.00 90.00
Sites, in units of the cell vectors:
Cr (0.250, 0.750, 0.000)
Cr (0.750, 0.250, 0.000)
Cu (0.250, 0.250, 0.240)
Cu (0.750, 0.750, 0.760)
Bi (0.250, 0.250, 0.693)
Bi (0.750, 0.750, 0.307)

Output
As for the electronic total energy: -5.502 eV/atom. The magnetization comes out at 0.9 Bohr magnetons per cell. The crystal system is tetragonal.

=====

4.
Entry from Alexandria: an optimized crystal structure of CrCuBi2 (PBE-GGA).

a b c (Å): 5.023 5.023 5.023
angles (deg): 60.00 60.00 60.00
Sites, in units of the cell vectors:
Cr (0.000, 0.000, 0.000)
Cu (0.500, 0.500, 0.500)
Bi (0.250, 0.250, 0.250)
Bi (0.750, 0.750, 0.750)

Output
As for the electronic total energy: -4.941 eV/atom. For the energy relative to the lowest polymorph listed for this composition, the calculation gives 0 meV per atom. The magnetization comes out at 4.0 Bohr magnetons per cell. The crystal system is cubic.

=====

electronic total energy of number 3 (CrCuBi)?
-5.502 eV/atom

=====

Which of these has the highest magnetization?
Cs2CrBiS4

=====

Among the records above, which one has the lowest electronic total energy?
CrCuBi